Entry from Alexandria via LeMat-Bulk: crystalline La3YHg at its relaxed geometry (GGA-PBE).

a b c (Å): 5.959 5.959 5.959
angles (deg): 90.00 90.00 90.00
Space group Pm-3m (No. 221)
One atom of each set of equivalent atoms:
La 0.000 0.000 0.500 x3
Y 0.500 0.500 0.500 x1
Hg 0.000 0.000 0.000 x1

- ΔE to the lowest computed polymorph: 456 meV/atom
- Total magnetization: 0.00 μB per formula unit
- Calculated volume: 42.33 Å³/atom
- Formation energy from the elements: 0.278 eV/atom
- Density of states at the Fermi level: 16.64 states/eV/cell


Entry from Alexandria via LeMat-Bulk: crystalline La2YHg at its relaxed geometry (GGA-PBE).

a b c (Å): 9.132 9.132 6.482
angles (deg): 90.00 90.00 90.00
Space group I-42d (No. 122)
One atom of each set of equivalent atoms:
La 0.211 0.250 0.125 x8
Y 0.000 0.000 0.500 x4
Hg 0.000 0.000 0.000 x4

- Total magnetization: 0.00 μB per formula unit
- Calculated volume: 33.79 Å³/atom
- Formation energy from the elements: -0.008 eV/atom
- Density of states at the Fermi level: 24.16 states/eV/cell


Entry from Alexandria via LeMat-Bulk: crystalline LaY2Hg at its relaxed geometry (GGA-PBE).

a b c (Å): 3.840 5.489 5.703
angles (deg): 90.00 90.00 90.00
Space group Pmmm (No. 47)
One atom of each set of equivalent atoms:
La 0.000 0.000 0.000 x1
Y 0.000 0.500 0.500 x1
Y 0.500 0.500 0.000 x1
Hg 0.500 0.000 0.500 x1

- Total magnetization: 0.01 μB per formula unit
- Calculated volume: 30.06 Å³/atom
- Formation energy from the elements: -0.136 eV/atom
- Density of states at the Fermi level: 5.80 states/eV/cell


Entry from Alexandria via LeMat-Bulk: crystalline La3YHg at its relaxed geometry (GGA-PBE).

a b c (Å): 3.849 8.770 10.282
angles (deg): 102.28 100.77 90.02
Space group P-1 (No. 2)
One atom of each set of equivalent atoms:
La 0.004 0.289 0.007 x2
La 0.187 0.375 0.375 x2
La 0.203 0.839 0.407 x2
Y 0.407 0.963 0.815 x2
Hg 0.393 0.420 0.786 x2

- ΔE to the lowest computed polymorph: 0 meV/atom
- Total magnetization: 0.00 μB per formula unit
- Calculated volume: 33.28 Å³/atom
- Formation energy from the elements: -0.177 eV/atom
- Density of states at the Fermi level: 13.79 states/eV/cell